V2CdMoO8 after structural relaxation, computed with GGA+U.

Cell and atoms, written as CIF:
```
data_V2CdMoO8
_symmetry_space_group_name_H-M 'I -4 m 2'
_symmetry_Int_Tables_number 119
_symmetry_space_group_name_Hall 'I -4 -2'
_cell_length_a 6.997
_cell_length_b 6.997
_cell_length_c 6.253
_cell_angle_alpha 90.00
_cell_angle_beta 90.00
_cell_angle_gamma 90.00
loop_
_atom_site_label
_atom_site_type_symbol
_atom_site_fract_x
_atom_site_fract_y
_atom_site_fract_z
V1 V 0.000 0.000 0.000
V2 V 0.000 0.500 0.250
Cd1 Cd 0.000 0.500 0.750
Mo1 Mo 0.000 0.000 0.500
O1 O 0.000 0.181 0.808
O2 O 0.000 0.296 0.410
```

The total energy comes out at -6.79 eV per atom. The calculation puts the size of the total moment at 2.0 μB per formula unit.